1.
Ni11Ge2Te4 | SCAN | single point on PBEsol structure

a b c (Å): 3.6479 3.6479 18.7838
angles (deg): 90.00 90.00 90.00
Sites, in units of the cell vectors:
Ni: 0.0000 0.0000 0.5013
Ni: 0.5000 0.0000 0.9113
Ni: 0.5000 0.5000 0.0001
Ni: 0.0000 0.5000 0.0889
Ni: 0.5000 0.0000 0.4118
Ni: 0.0000 0.5000 0.9113
Ni: 0.5000 0.0000 0.5900
Ni: 0.0000 0.5000 0.4118
Ni: 0.5000 0.0000 0.0889
Ni: 0.0000 0.5000 0.5900
Ni: 0.5000 0.5000 0.3093
Te: 0.0000 0.0000 0.3163
Te: 0.5000 0.5000 0.1774
Te: 0.5000 0.5000 0.8214
Te: 0.0000 0.0000 0.6798
Ge: 0.5000 0.5000 0.5003
Ge: 0.0000 0.0000 0.9998

Properties
Volume: 250.0 Å³ per cell
Uncorrected formation energy: -4.02 eV per formula unit
Space group: No. 99

***

2.
TmNiGe | SCAN | single point on PBEsol structure

a b c (Å): 4.1421 6.7070 7.1269
angles (deg): 90.00 90.00 90.00
Sites, in units of the cell vectors:
Ge: 0.7500 0.1959 0.0890
Ge: 0.7500 0.6959 0.4110
Ge: 0.2500 0.3041 0.5890
Ge: 0.2500 0.8041 0.9110
Ni: 0.2500 0.1926 0.9179
Ni: 0.2500 0.6926 0.5821
Ni: 0.7500 0.3074 0.4179
Ni: 0.7500 0.8074 0.0821
Tm: 0.2500 0.9921 0.2949
Tm: 0.2500 0.4921 0.2051
Tm: 0.7500 0.5079 0.7949
Tm: 0.7500 0.0079 0.7051

Properties
Volume: 198.0 Å³ per cell
Space group: No. 62

***

3.
TmNiGe2 | SCAN | single point on PBEsol structure

a b c (Å): 4.0847 8.3628 9.0862
angles (deg): 117.40 102.99 90.00
Sites, in units of the cell vectors:
Tm: 0.7959 0.7959 0.5917
Tm: 0.2041 0.2041 0.4083
Tm: 0.0000 0.2388 0.0000
Tm: 0.0000 0.7612 0.0000
Ge: 0.4226 0.9226 0.8452
Ge: 0.1963 0.8543 0.3927
Ge: 0.8037 0.1457 0.6073
Ge: 0.1963 0.5384 0.3927
Ge: 0.5801 0.5801 0.1602
Ge: 0.5774 0.0774 0.1548
Ge: 0.4199 0.4199 0.8398
Ge: 0.8037 0.4616 0.6073
Ni: 0.6478 0.3966 0.2956
Ni: 0.3522 0.1010 0.7044
Ni: 0.3522 0.6034 0.7044
Ni: 0.6478 0.8990 0.2956

Properties
Volume: 266.6 Å³ per cell
Space group: No. 71

***

4.
TmNiGe | SCAN | single point on PBEsol structure

a b c (Å): 4.0482 5.3522 5.4169
angles (deg): 76.61 68.06 67.78
Sites, in units of the cell vectors:
Ge: 0.8298 0.2388 0.1016
Ge: 0.1702 0.7612 0.8984
Tm: 0.4476 0.7924 0.3125
Tm: 0.5524 0.2076 0.6875
Ni: 0.1673 0.3842 0.2811
Ni: 0.8327 0.6158 0.7189

Properties
Volume: 100.2 Å³ per cell
Space group: No. 12

***

These records have final energy values of -21.71 -29.94 -27.32 -29.85 eV per atom, in the order they appear.